Dy3HoAl3: relaxed, PBE-GGA.

The value obtained for the energy is -0.1652 Ha/atom. Its volume is 25.778 Å³/atom. The total magnetization is 0.00 μB per atom.

It has space group Cmmm (No. 65), with a = 10.198 Å, b = 10.232 Å, c = 6.918 Å, α = 90.00°, β = 90.00° and γ = 90.00°. Symmetry generates all atoms from Dy at (0.000, 0.244, 0.000), Dy at (0.241, 0.000, 0.500), Dy at (0.246, 0.000, 0.000), Ho at (0.000, 0.246, 0.500), Al at (0.000, 0.500, 0.253) and Al at (0.250, 0.250, 0.251).